Entry 1:
Fe2GeAuC after structural relaxation, computed with PBE.

The structure belongs to space group P4/mmm (No. 123); the cell edges are 4.572, 4.572 and 4.787 Å and the angles 90.00°, 90.00° and 90.00°. The asymmetric unit holds Fe at (0.000, 0.500, 0.000), Ge at (0.000, 0.000, 0.000), Au at (0.000, 0.000, 0.500) and C at (0.500, 0.500, 0.500).

Entry 2:
Hf2FeAuC after structural relaxation, computed with PBE.

The structure belongs to space group P4/mmm (No. 123); the cell edges are 4.541, 4.541 and 3.758 Å and the angles 90.00°, 90.00° and 90.00°. The asymmetric unit holds Hf at (0.000, 0.500, 0.000), Fe at (0.000, 0.000, 0.500), Au at (0.500, 0.500, 0.500) and C at (0.000, 0.000, 0.000).

Entry 3:
Ho2FeAuC after structural relaxation, computed with PBE.

The structure belongs to space group P4/mmm (No. 123); the cell edges are 4.968, 4.968 and 3.659 Å and the angles 90.00°, 90.00° and 90.00°. The asymmetric unit holds Ho at (0.000, 0.500, 0.000), Fe at (0.000, 0.000, 0.500), Au at (0.500, 0.500, 0.500) and C at (0.000, 0.000, 0.000).

Entry 4:
MgFeAuC2 after structural relaxation, computed with PBE.

The structure belongs to space group P4/mmm (No. 123); the cell edges are 4.073, 4.073 and 4.949 Å and the angles 90.00°, 90.00° and 90.00°. The asymmetric unit holds Mg at (0.000, 0.000, 0.000), Fe at (0.500, 0.500, 0.000), Au at (0.500, 0.500, 0.500) and C at (0.000, 0.500, 0.500).

Entry 5:
NaFe2AuC after structural relaxation, computed with PBE.

The structure belongs to space group P4/mmm (No. 123); the cell edges are 4.523, 4.523 and 4.068 Å and the angles 90.00°, 90.00° and 90.00°. The asymmetric unit holds Na at (0.000, 0.000, 0.000), Fe at (0.000, 0.500, 0.000), Au at (0.500, 0.500, 0.500) and C at (0.000, 0.000, 0.500).

Entry 6:
Fe2NiAuC after structural relaxation, computed with PBE.

The structure belongs to space group P4/mmm (No. 123); the cell edges are 3.895, 3.895 and 3.876 Å and the angles 90.00°, 90.00° and 90.00°. The asymmetric unit holds Fe at (0.000, 0.500, 0.000), Ni at (0.000, 0.000, 0.500), Au at (0.500, 0.500, 0.500) and C at (0.000, 0.000, 0.000).

no.,V (Å³/cell),mass density (g/cm3),formation enthalpy at 0 K (eV/atom)
1,100,6.53,2.0498
2,77,13.32,-0.4844
3,90,10.94,-0.5340
4,82,6.09,2.1602
5,83,6.86,2.3658
6,59,10.71,0.1244